Below is a geometry-optimized Rb2MgTlI6 structure, with properties calculated at the PBE level.

E above lowest polymorph ... 30 meV/atom
Energy relative to the elements, uncorrected ... -0.956 eV per atom
Space group ... Fm-3m (225)

Geometry as POSCAR:
```
Rb2MgTlI6
1.0
-1.135 -8.271 -2.088
-1.797 -1.827 8.215
-7.365 -3.974 2.013
I Tl Mg Rb
6 1 1 2
Direct
0.260 0.260 0.481 I
0.740 0.740 0.519 I
0.260 0.260 0.000 I
0.740 0.740 0.000 I
0.740 0.260 0.000 I
0.260 0.740 0.000 I
0.000 0.000 0.000 Tl
0.500 0.500 0.000 Mg
0.750 0.250 0.500 Rb
0.250 0.750 0.500 Rb
```

---

Below is a geometry-optimized VAsOs2 structure, with properties calculated at the PBE level.

E above lowest polymorph ... 664 meV/atom
Energy of formation from the pure elements ... 0.84 eV per atom
Space group ... I-42d (122)

Geometry as POSCAR:
```
VAsOs2
1.0
5.439 0.000 0.000
0.000 5.439 0.000
2.719 2.719 5.583
As Os V
2 4 2
Direct
0.000 0.000 0.000 As
0.750 0.250 0.500 As
0.620 0.125 0.250 Os
0.130 0.625 0.250 Os
0.375 0.380 0.750 Os
0.875 0.870 0.750 Os
0.500 0.500 0.000 V
0.250 0.750 0.500 V
```

---

Below is a geometry-optimized Ac3TmTl3Te8 structure, with properties calculated at the PBE level.

Energy relative to the elements, uncorrected ... -1.095 eV per atom
Space group ... R-3m (166)

Geometry as POSCAR:
```
Ac3TmTl3Te8
1.0
-6.731 -2.840 5.999
3.441 -6.011 -6.433
5.603 2.599 7.517
Ac Tm Tl Te
3 1 3 8
Direct
0.500 0.000 0.500 Ac
0.500 0.500 0.500 Ac
0.000 0.500 0.500 Ac
0.000 0.000 0.500 Tm
0.000 0.000 0.000 Tl
0.000 0.500 0.000 Tl
0.500 0.500 0.000 Tl
0.255 0.511 0.266 Te
0.745 0.489 0.734 Te
0.772 0.544 0.281 Te
0.228 0.456 0.719 Te
0.772 0.009 0.281 Te
0.228 0.991 0.719 Te
0.237 0.009 0.281 Te
0.763 0.991 0.719 Te
```

---

Below is a geometry-optimized BIr structure, with properties calculated at the PBE level.

Energy of formation from the pure elements ... 0.20 eV per atom
Space group ... P6_3/m (176)

Geometry as POSCAR:
```
BIr
1.0
-6.378 -6.062 1.268
6.632 -1.648 -5.686
1.496 -1.140 2.076
B Ir
6 6
Direct
0.684 0.104 0.250 B
0.581 0.684 0.750 B
0.896 0.581 0.250 B
0.316 0.896 0.750 B
0.419 0.316 0.250 B
0.104 0.419 0.750 B
0.902 0.345 0.250 Ir
0.556 0.902 0.750 Ir
0.655 0.556 0.250 Ir
0.098 0.655 0.750 Ir
0.444 0.098 0.250 Ir
0.345 0.444 0.750 Ir
```

---

Below is a geometry-optimized CoBi2As structure, with properties calculated at the PBE level.

Energy of formation from the pure elements ... 0.38 eV per atom
Space group ... I-42d (122)

Geometry as POSCAR:
```
CoBi2As
1.0
6.210 0.000 0.000
0.000 6.210 0.000
3.105 3.105 6.119
As Co Bi
2 2 4
Direct
0.000 0.000 0.000 As
0.750 0.250 0.500 As
0.500 0.500 0.000 Co
0.250 0.750 0.500 Co
0.577 0.125 0.250 Bi
0.173 0.625 0.250 Bi
0.375 0.423 0.750 Bi
0.875 0.827 0.750 Bi
```

---

Below is a geometry-optimized LiTbThTc structure, with properties calculated at the PBE level.

Energy of formation from the pure elements ... -0.06 eV per atom
Space group ... F-43m (216)

Geometry as POSCAR:
```
LiTbThTc
1.0
5.020 0.000 0.000
2.510 4.347 0.000
2.510 1.449 4.098
Tb Tc Th Li
1 1 1 1
Direct
0.250 0.250 0.250 Tb
0.500 0.500 0.500 Tc
0.750 0.750 0.750 Th
0.000 0.000 0.000 Li
```

---

Below is a geometry-optimized TaInMo structure, with properties calculated at the PBE level.

E above lowest polymorph ... 101 meV/atom
Energy of formation from the pure elements ... 0.18 eV per atom
Space group ... Fmm2 (42)

Geometry as POSCAR:
```
TaInMo
1.0
-0.711 5.794 4.436
-1.201 3.430 6.121
2.726 1.031 0.414
In Mo Ta
1 1 1
Direct
0.997 0.997 0.003 In
0.326 0.326 0.674 Mo
0.677 0.677 0.323 Ta
```

---

Below is a geometry-optimized K3Se5 structure, with properties calculated at the PBE level.

Energy relative to the elements, uncorrected ... -0.722 eV per atom
Space group ... P1 (1)

Geometry as POSCAR:
```
K3Se5
1.0
6.280 0.249 2.152
3.398 8.405 1.244
0.111 0.210 10.490
K Se
6 10
Direct
0.975 0.356 0.664 K
0.627 0.389 0.345 K
0.901 0.906 0.833 K
0.253 0.879 0.156 K
0.561 0.887 0.514 K
0.207 0.413 0.997 K
0.529 0.681 0.851 Se
0.769 0.841 0.180 Se
0.546 0.224 0.681 Se
0.276 0.203 0.306 Se
0.667 0.127 0.121 Se
0.346 0.055 0.817 Se
0.076 0.491 0.324 Se
0.392 0.597 0.698 Se
0.912 0.064 0.517 Se
0.680 0.453 0.997 Se
```

---

Below is a geometry-optimized Zr5CS5 structure, with properties calculated at the PBE level.

Energy relative to the elements, uncorrected ... -1.444 eV per atom
Space group ... C2/m (12)

Geometry as POSCAR:
```
Zr5CS5
1.0
-5.113 -0.175 -0.101
2.633 -4.289 3.747
-0.288 6.252 3.786
Zr C S
5 1 5
Direct
0.847 0.693 0.140 Zr
0.857 0.714 0.707 Zr
0.500 0.000 0.000 Zr
0.143 0.286 0.293 Zr
0.153 0.307 0.860 Zr
0.000 0.000 0.000 C
0.674 0.348 0.336 S
0.660 0.320 0.813 S
0.000 0.000 0.500 S
0.340 0.680 0.187 S
0.326 0.652 0.664 S
```

---

Below is a geometry-optimized Ce8Sb4H structure, with properties calculated at the PBE level.

Space group ... Pmm2 (25)
Total energy ... -0.214 Ha/atom

Geometry as POSCAR:
```
Ce8Sb4H
1.0
4.751 0.000 0.000
0.000 4.401 0.000
0.000 0.000 16.348
Ce Sb H
8 4 1
Direct
0.000 0.000 0.437 Ce
0.000 0.500 0.930 Ce
0.500 0.500 0.068 Ce
0.500 0.000 0.574 Ce
0.000 0.500 0.252 Ce
0.000 0.000 0.755 Ce
0.500 0.000 0.245 Ce
0.500 0.500 0.747 Ce
0.000 0.000 0.100 Sb
0.000 0.500 0.603 Sb
0.500 0.500 0.398 Sb
0.500 0.000 0.898 Sb
0.000 0.000 0.296 H
```

---

Below is a geometry-optimized PmYPa structure, with properties calculated at the PBE level.

E above lowest polymorph ... 16 meV/atom
Energy of formation from the pure elements ... 0.19 eV per atom
Space group ... P2_1/m (11)

Geometry as POSCAR:
```
PmYPa
1.0
3.428 -0.054 -0.389
0.065 5.771 -0.227
-2.425 -2.514 9.640
Pa Pm Y
2 2 2
Direct
0.873 0.563 0.622 Pa
0.127 0.437 0.378 Pa
0.562 0.905 0.312 Pm
0.438 0.095 0.688 Pm
0.701 0.725 0.951 Y
0.299 0.275 0.049 Y
```

---

What are the total magnetic moment values for these records? In order: 0.000 0.000 0.000 0.000 0.000 0.000 0.000 0.000 0.000 9.837 0.000 μB per cell.